{"formula": "ZrCrHg2", "functional": "PBE-GGA", "state": "relaxed", "cell": [[-0.800, -1.243, -4.651], [2.433, -2.140, 0.153], [-3.307, -3.651, 1.544]], "species": ["Zr", "Hg", "Hg", "Cr"], "fractional_positions": [[0.000, 0.625, 0.446], [0.500, 0.125, 0.308], [0.000, 0.125, 0.940], [0.500, 0.625, 0.806]], "energy_ev_per_cell": -17.9, "relative_energy_ev_per_atom": 0.073, "formation_energy_mev_per_atom": 215}

{"formula": "ZrCrHg2", "functional": "PBE-GGA", "state": "relaxed", "cell": [[9.460, -0.011, -0.006], [8.906, 3.191, -0.006], [8.906, 1.542, 2.793]], "species": ["Hg", "Zr", "Hg", "Cr"], "fractional_positions": [[0.248, 0.248, 0.248], [0.493, 0.493, 0.493], [0.007, 0.007, 0.007], [0.752, 0.752, 0.752]], "energy_ev_per_cell": -17.6, "relative_energy_ev_per_atom": 0.153, "formation_energy_mev_per_atom": 295}

{"formula": "Zr4CrHg", "functional": "PBE-GGA", "state": "relaxed", "cell": [[1.993, -4.085, 3.499], [-2.089, -5.332, -0.333], [3.258, -4.231, -2.094]], "species": ["Hg", "Zr", "Cr", "Zr", "Zr", "Zr"], "fractional_positions": [[0.000, 0.000, 0.000], [0.872, 0.376, 0.376], [0.750, 0.750, 0.750], [0.376, 0.376, 0.872], [0.376, 0.872, 0.376], [0.376, 0.376, 0.376]], "energy_ev_per_cell": -41.3, "formation_energy_mev_per_atom": 471}

{"formula": "ZrCrHg2", "functional": "PBE-GGA", "state": "relaxed", "cell": [[-2.417, 3.925, 2.345], [1.256, -3.230, 3.838], [2.779, 1.500, 0.351]], "species": ["Zr", "Hg", "Cr", "Hg"], "fractional_positions": [[0.500, 0.000, 0.500], [0.000, 0.000, 0.000], [0.000, 0.500, 0.500], [0.500, 0.500, 0.000]], "energy_ev_per_cell": -17.8, "relative_energy_ev_per_atom": 0.092, "formation_energy_mev_per_atom": 234}

{"formula": "ZrCrHg2", "functional": "PBE-GGA", "state": "relaxed", "cell": [[4.150, 0.000, 0.000], [0.000, 4.150, 0.000], [2.075, 2.075, 10.315]], "species": ["Hg", "Hg", "Zr", "Cr", "Zr", "Hg", "Cr", "Hg"], "fractional_positions": [[0.136, 0.625, 0.250], [0.614, 0.125, 0.250], [0.000, 0.000, 0.000], [0.250, 0.750, 0.500], [0.750, 0.250, 0.500], [0.875, 0.864, 0.750], [0.500, 0.500, 0.000], [0.375, 0.386, 0.750]], "energy_ev_per_cell": -33.4, "relative_energy_ev_per_atom": 0.374, "formation_energy_mev_per_atom": 516}

{"formula": "ZrCr2Hg", "functional": "PBE-GGA", "state": "relaxed", "cell": [[4.277, 0.000, 0.000], [0.000, 4.273, 0.003], [0.000, 4.270, 3.908]], "species": ["Cr", "Cr", "Zr", "Hg"], "fractional_positions": [[0.500, 0.500, 0.000], [0.000, 0.000, 0.000], [0.000, 0.000, 0.500], [0.500, 0.500, 0.500]], "energy_ev_per_cell": -26.7, "relative_energy_ev_per_atom": 0.217, "formation_energy_mev_per_atom": 345}

{"formula": "HoCr4", "functional": "PBE-GGA", "state": "relaxed", "cell": [[4.830, 0.000, 0.000], [0.000, 4.830, 0.000], [0.000, 0.000, 4.830]], "species": ["Cr", "Ho", "Cr", "Cr", "Cr"], "fractional_positions": [[0.500, 0.500, 0.000], [0.500, 0.500, 0.500], [0.000, 0.500, 0.500], [0.500, 0.000, 0.500], [0.000, 0.000, 0.000]], "energy_ev_per_cell": -32.7, "formation_energy_mev_per_atom": 2080}

{"formula": "HoCr6", "functional": "PBE-GGA", "state": "relaxed", "cell": [[5.394, 0.000, 0.000], [-1.798, 5.085, 0.000], [-1.798, -2.543, 4.404]], "species": ["Cr", "Cr", "Cr", "Ho", "Cr", "Cr", "Cr"], "fractional_positions": [[0.750, 0.500, 0.250], [0.500, 0.250, 0.750], [0.250, 0.750, 0.500], [0.000, 0.000, 0.000], [0.250, 0.500, 0.750], [0.750, 0.250, 0.500], [0.500, 0.750, 0.250]], "energy_ev_per_cell": -53.6, "formation_energy_mev_per_atom": 1247}